Below is a geometry-optimized Cs2BiOF3 structure, with properties calculated at the GGA-PBE level.

- Crystal system: orthorhombic
- Formation energy from raw total energies: -2.2491 eV/atom

Lattice parameters (Å, degrees): 4.5535 4.7889 8.3266 106.71 105.87 90.00
With the nearest neighbours (Å) after each atom.
Sites, in units of the cell vectors:
O  0.5000  0.0000  0.0000  2 Bi 2.28
F  0.1548  0.1548  0.3096  1 Bi 2.37
Cs  0.6478  0.6478  0.2956  7 F 3.02-3.31, 2 O 3.29
Cs  0.3522  0.3522  0.7044  7 F 3.02-3.31, 2 O 3.29
Bi  0.0000  0.0000  0.0000  2 O 2.28, 4 F 2.37-2.39
F  0.8452  0.8452  0.6904  1 Bi 2.37
F  0.0000  0.5000  0.0000  2 Bi 2.39